No. 1
Here is a relaxed La2SnBr crystal from Alexandria. Energies are from PBE.

Calculated values
* magnetic moment: 0.01 μB/cell
* ΔE to the lowest computed polymorph: 0.080 eV per atom
* D(E_F): 0.84 states/eV per atom

a = 8.284 Å, b = 8.284 Å, c = 8.284 Å
α = 31.48°, β = 31.48°, γ = 31.48°
Fractional coordinates of all 4 atoms:
La1 0.000 0.000 0.000
La2 0.182 0.182 0.182
Sn1 0.592 0.592 0.592
Br1 0.421 0.421 0.421

***

No. 2
Here is a relaxed KCd3Mo crystal from Alexandria. Energies are from PBE.

Calculated values
* formation enthalpy at 0 K: 1516 meV/atom
* magnetic moment: 5.24 μB/cell
* ΔE to the lowest computed polymorph: 0.922 eV per atom
* D(E_F): 0.42 states/eV per atom

a = 6.150 Å, b = 6.150 Å, c = 6.150 Å
α = 90.00°, β = 90.00°, γ = 90.00°
Fractional coordinates of all 5 atoms:
K1 0.000 0.000 0.000
Cd1 0.000 0.000 0.500
Cd2 0.000 0.500 0.000
Cd3 0.500 0.000 0.000
Mo1 0.500 0.500 0.500

***

No. 3
Here is a relaxed TbPm3Dy5 crystal from Alexandria. Energies are from PBE.

Calculated values
* formation enthalpy at 0 K: 161 meV/atom
* magnetic moment: 0.00 μB/cell
* ΔE to the lowest computed polymorph: 0.000 eV per atom
* D(E_F): 1.51 states/eV per atom

a = 8.905 Å, b = 8.905 Å, c = 11.425 Å
α = 108.02°, β = 108.02°, γ = 44.34°
Fractional coordinates of all 18 atoms:
Tb1 0.227 0.773 0.750
Tb2 0.773 0.227 0.250
Pm1 0.000 0.000 0.000
Pm2 0.000 0.000 0.500
Pm3 0.139 0.385 0.643
Pm4 0.385 0.139 0.143
Pm5 0.615 0.861 0.857
Pm6 0.861 0.615 0.357
Dy1 0.056 0.295 0.870
Dy2 0.295 0.056 0.370
Dy3 0.320 0.680 0.250
Dy4 0.390 0.395 0.454
Dy5 0.395 0.390 0.954
Dy6 0.605 0.610 0.046
Dy7 0.610 0.605 0.546
Dy8 0.680 0.320 0.750
Dy9 0.705 0.944 0.630
Dy10 0.944 0.705 0.130

***

No. 4
Here is a relaxed UCuH crystal from Alexandria. Energies are from PBE.

Calculated values
* E: -37.4 eV/cell
* magnetic moment: 2.99 μB/cell
* D(E_F): 1.35 states/eV per atom

a = 5.575 Å, b = 5.575 Å, c = 4.235 Å
α = 112.25°, β = 112.25°, γ = 40.33°
Fractional coordinates of all 6 atoms:
U1 0.160 0.160 0.409
U2 0.840 0.840 0.591
Cu1 0.412 0.412 0.162
Cu2 0.588 0.588 0.838
H1 0.075 0.075 0.825
H2 0.925 0.925 0.175

***

No. 5
Here is a relaxed BC3 crystal from Alexandria. Energies are from PBE.

Calculated values
* formation enthalpy at 0 K: 307 meV/atom
* magnetic moment: 0.00 μB/cell
* ΔE to the lowest computed polymorph: 0.066 eV per atom
* D(E_F): 0.11 states/eV per atom

a = 4.514 Å, b = 4.514 Å, c = 7.610 Å
α = 115.08°, β = 115.08°, γ = 32.27°
Fractional coordinates of all 12 atoms:
B1 0.000 0.000 0.000
B2 0.004 0.004 0.499
B3 0.672 0.672 0.835
C1 0.174 0.174 0.461
C2 0.176 0.176 0.980
C3 0.335 0.335 0.178
C4 0.336 0.336 0.669
C5 0.499 0.499 0.636
C6 0.501 0.501 0.149
C7 0.671 0.671 0.340
C8 0.829 0.829 0.294
C9 0.838 0.838 0.786

***

No. 6
Here is a relaxed Sr3LiEr2Se6 crystal from Alexandria. Energies are from PBE.

Calculated values
* E: -59.2 eV/cell
* magnetic moment: 0.00 μB/cell
* D(E_F): 0.30 states/eV per atom

a = 7.304 Å, b = 7.304 Å, c = 7.367 Å
α = 99.50°, β = 99.50°, γ = 119.98°
Fractional coordinates of all 12 atoms:
Sr1 0.000 0.000 0.000
Sr2 0.335 0.665 0.000
Sr3 0.665 0.335 0.000
Li1 0.500 0.500 0.500
Er1 0.167 0.833 0.500
Er2 0.833 0.167 0.500
Se1 0.088 0.425 0.274
Se2 0.239 0.239 0.724
Se3 0.425 0.088 0.274
Se4 0.575 0.912 0.726
Se5 0.761 0.761 0.276
Se6 0.912 0.575 0.726

***

No. 7
Here is a relaxed AcYP2Rh5 crystal from Alexandria. Energies are from PBE.

Calculated values
* formation enthalpy at 0 K: -807 meV/atom
* magnetic moment: 0.00 μB/cell
* D(E_F): 0.50 states/eV per atom

a = 4.118 Å, b = 4.118 Å, c = 10.668 Å
α = 90.00°, β = 90.00°, γ = 90.00°
Fractional coordinates of all 9 atoms:
Ac1 0.000 0.000 0.000
Y1 0.000 0.000 0.500
P1 0.500 0.500 0.215
P2 0.500 0.500 0.785
Rh1 0.000 0.500 0.305
Rh2 0.000 0.500 0.695
Rh3 0.500 0.000 0.305
Rh4 0.500 0.000 0.695
Rh5 0.500 0.500 0.000

***

No. 8
Here is a relaxed HfBN crystal from Alexandria. Energies are from PBE.

Calculated values
* magnetic moment: 0.00 μB/cell
* ΔE to the lowest computed polymorph: 0.257 eV per atom
* D(E_F): 0.16 states/eV per atom

a = 5.460 Å, b = 5.460 Å, c = 3.891 Å
α = 95.17°, β = 95.17°, γ = 34.36°
Fractional coordinates of all 6 atoms:
Hf1 0.000 0.000 0.000
Hf2 0.699 0.699 0.546
B1 0.334 0.334 0.116
B2 0.454 0.454 0.473
N1 0.197 0.197 0.170
N2 0.356 0.356 0.746

***

No. 9
Here is a relaxed BeSiAu2 crystal from Alexandria. Energies are from PBE.

Calculated values
* E: -15.0 eV/cell
* magnetic moment: 0.00 μB/cell
* D(E_F): 0.32 states/eV per atom

a = 4.248 Å, b = 4.248 Å, c = 3.754 Å
α = 102.15°, β = 102.15°, γ = 80.53°
Fractional coordinates of all 4 atoms:
Be1 0.000 0.000 0.000
Si1 0.500 0.500 0.000
Au1 0.000 0.500 0.500
Au2 0.500 0.000 0.500

***

No. 10
Here is a relaxed PmGdSn2 crystal from Alexandria. Energies are from PBE.

Calculated values
* formation enthalpy at 0 K: -674 meV/atom
* magnetic moment: 7.81 μB/cell
* ΔE to the lowest computed polymorph: 0.013 eV per atom
* D(E_F): 0.83 states/eV per atom

a = 4.947 Å, b = 4.947 Å, c = 4.507 Å
α = 90.00°, β = 90.00°, γ = 90.00°
Fractional coordinates of all 4 atoms:
Pm1 0.000 0.000 0.000
Gd1 0.500 0.500 0.000
Sn1 0.000 0.500 0.500
Sn2 0.500 0.000 0.500

***

No. 11
Here is a relaxed LuU4S5O4 crystal from Alexandria. Energies are from PBE.

Calculated values
* E: -123.1 eV/cell
* magnetic moment: 8.81 μB/cell
* D(E_F): 1.89 states/eV per atom

a = 17.456 Å, b = 17.456 Å, c = 17.456 Å
α = 167.53°, β = 167.53°, γ = 17.67°
Fractional coordinates of all 14 atoms:
Lu1 0.000 0.000 0.000
U1 0.192 0.192 0.000
U2 0.386 0.386 0.000
U3 0.614 0.614 0.000
U4 0.808 0.808 0.000
S1 0.077 0.077 0.000
S2 0.277 0.277 0.000
S3 0.500 0.500 0.000
S4 0.723 0.723 0.000
S5 0.923 0.923 0.000
O1 0.151 0.651 0.500
O2 0.349 0.849 0.500
O3 0.651 0.151 0.500
O4 0.849 0.349 0.500

***

No. 12
Here is a relaxed EuZn2 crystal from Alexandria. Energies are from PBE.

Calculated values
* formation enthalpy at 0 K: -157 meV/atom
* magnetic moment: 7.08 μB/cell
* D(E_F): 0.43 states/eV per atom

a = 5.804 Å, b = 5.804 Å, c = 5.804 Å
α = 143.62°, β = 143.62°, γ = 52.40°
Fractional coordinates of all 3 atoms:
Eu1 0.000 0.000 0.000
Zn1 0.306 0.306 0.000
Zn2 0.694 0.694 0.000

***

No. 13
Here is a relaxed CdCuBr2 crystal from Alexandria. Energies are from PBE.

Calculated values
* magnetic moment: 0.00 μB/cell
* ΔE to the lowest computed polymorph: 0.000 eV per atom
* D(E_F): 0.41 states/eV per atom

a = 4.112 Å, b = 4.112 Å, c = 8.848 Å
α = 105.86°, β = 105.86°, γ = 52.70°
Fractional coordinates of all 4 atoms:
Cd1 0.000 0.000 0.000
Cu1 0.651 0.651 0.239
Br1 0.244 0.244 0.805
Br2 0.382 0.382 0.359

***

No. 14
Here is a relaxed CsCaCeBr6 crystal from Alexandria. Energies are from PBE.

Calculated values
* E: -71.0 eV/cell
* magnetic moment: 2.00 μB/cell
* D(E_F): 0.88 states/eV per atom

a = 10.734 Å, b = 10.734 Å, c = 10.734 Å
α = 121.70°, β = 119.39°, γ = 89.07°
Fractional coordinates of all 18 atoms:
Cs1 0.302 0.052 0.250
Cs2 0.698 0.948 0.750
Ca1 0.000 0.000 0.500
Ca2 0.000 0.500 0.000
Ce1 0.000 0.500 0.500
Ce2 0.500 0.500 0.000
Br1 0.067 0.412 0.238
Br2 0.067 0.829 0.655
Br3 0.070 0.820 0.250
Br4 0.326 0.171 0.738
Br5 0.326 0.576 0.750
Br6 0.326 0.588 0.155
Br7 0.674 0.412 0.845
Br8 0.674 0.424 0.250
Br9 0.674 0.829 0.262
Br10 0.930 0.180 0.750
Br11 0.933 0.171 0.345
Br12 0.933 0.588 0.762

***

No. 15
Here is a relaxed InFe2Si crystal from Alexandria. Energies are from PBE.

Calculated values
* E: -24.4 eV/cell
* magnetic moment: 3.27 μB/cell
* D(E_F): 0.81 states/eV per atom

a = 4.615 Å, b = 4.615 Å, c = 4.615 Å
α = 135.71°, β = 121.18°, γ = 76.50°
Fractional coordinates of all 4 atoms:
In1 0.000 0.000 0.000
Fe1 0.293 0.793 0.500
Fe2 0.707 0.207 0.500
Si1 0.500 0.500 0.000

***

No. 16
Here is a relaxed AlSn2F6 crystal from Alexandria. Energies are from PBE.

Calculated values
* E: -91.2 eV/cell
* magnetic moment: 2.01 μB/cell
* D(E_F): 0.03 states/eV per atom

a = 5.295 Å, b = 5.295 Å, c = 11.262 Å
α = 90.00°, β = 90.00°, γ = 90.00°
Fractional coordinates of all 18 atoms:
Al1 0.000 0.000 0.000
Al2 0.500 0.500 0.500
Sn1 0.000 0.000 0.364
Sn2 0.000 0.000 0.636
Sn3 0.500 0.500 0.136
Sn4 0.500 0.500 0.864
F1 0.177 0.177 0.116
F2 0.177 0.177 0.884
F3 0.241 0.759 0.000
F4 0.259 0.259 0.500
F5 0.323 0.677 0.384
F6 0.323 0.677 0.616
F7 0.677 0.323 0.384
F8 0.677 0.323 0.616
F9 0.741 0.741 0.500
F10 0.759 0.241 0.000
F11 0.823 0.823 0.116
F12 0.823 0.823 0.884

***

No. 17
Here is a relaxed Li2TlRh crystal from Alexandria. Energies are from PBE.

Calculated values
* formation enthalpy at 0 K: 67 meV/atom
* magnetic moment: 0.34 μB/cell
* D(E_F): 1.10 states/eV per atom

a = 9.078 Å, b = 9.078 Å, c = 9.078 Å
α = 19.40°, β = 19.40°, γ = 19.40°
Fractional coordinates of all 4 atoms:
Li1 0.238 0.238 0.238
Li2 0.762 0.762 0.762
Tl1 0.000 0.000 0.000
Rh1 0.500 0.500 0.500

***

No. 18
Here is a relaxed AlTl2Pb crystal from Alexandria. Energies are from PBE.

Calculated values
* formation enthalpy at 0 K: 196 meV/atom
* magnetic moment: 0.00 μB/cell
* ΔE to the lowest computed polymorph: 0.071 eV per atom
* D(E_F): 0.48 states/eV per atom

a = 5.769 Å, b = 5.769 Å, c = 5.769 Å
α = 129.18°, β = 129.18°, γ = 74.72°
Fractional coordinates of all 4 atoms:
Al1 0.000 0.000 0.000
Tl1 0.500 0.500 0.000
Tl2 0.750 0.250 0.500
Pb1 0.250 0.750 0.500

***

No. 19
Here is a relaxed KBaTl6 crystal from Alexandria. Energies are from PBE.

Calculated values
* formation enthalpy at 0 K: -182 meV/atom
* magnetic moment: 0.00 μB/cell
* D(E_F): 0.43 states/eV per atom

a = 5.344 Å, b = 7.627 Å, c = 7.627 Å
α = 61.89°, β = 90.00°, γ = 90.00°
Fractional coordinates of all 8 atoms:
K1 0.000 0.000 0.000
Ba1 0.500 0.317 0.317
Tl1 0.000 0.503 0.503
Tl2 0.000 0.520 0.950
Tl3 0.000 0.950 0.520
Tl4 0.500 0.364 0.799
Tl5 0.500 0.799 0.364
Tl6 0.500 0.816 0.816

***

No. 20
Here is a relaxed Tl2CuIr2 crystal from Alexandria. Energies are from PBE.

Calculated values
* formation enthalpy at 0 K: 372 meV/atom
* magnetic moment: 0.00 μB/cell
* D(E_F): 0.60 states/eV per atom

a = 6.679 Å, b = 6.679 Å, c = 4.196 Å
α = 90.00°, β = 90.00°, γ = 90.00°
Fractional coordinates of all 10 atoms:
Tl1 0.173 0.327 0.000
Tl2 0.327 0.827 0.000
Tl3 0.673 0.173 0.000
Tl4 0.827 0.673 0.000
Cu1 0.000 0.000 0.500
Cu2 0.500 0.500 0.500
Ir1 0.137 0.637 0.500
Ir2 0.363 0.137 0.500
Ir3 0.637 0.863 0.500
Ir4 0.863 0.363 0.500